(1)
# NiTeS3 (GGA-PBE, optimized geometry)
# Energy above the most stable polymorph in this dataset (meV per atom): 0
# Symmetry: Pm-3m
# Energy relative to the elements, uncorrected (eV per atom): 0.3215
data_NiTeS3
_space_group_name_H-M_alt 'P 1'
_space_group_IT_number 1
_cell_length_a 4.456
_cell_length_b 4.456
_cell_length_c 4.456
_cell_angle_alpha 90.00
_cell_angle_beta 90.00
_cell_angle_gamma 90.00
loop_
_space_group_symop_operation_xyz
'x,y,z'
loop_
_atom_site_label
_atom_site_fract_x
_atom_site_fract_y
_atom_site_fract_z
_atom_site_occupancy
Ni1 0.000 0.000 0.000 1
Te1 0.500 0.500 0.500 1
S1 0.000 0.000 0.500 1
S2 0.000 0.500 0.000 1
S3 0.500 0.000 0.000 1

(2)
# Ni2Te2S (GGA-PBE, optimized geometry)
# Energy above the most stable polymorph in this dataset (meV per atom): 460
# Symmetry: P4/mbm
# Energy relative to the elements, uncorrected (eV per atom): 0.3204
data_Ni2Te2S
_space_group_name_H-M_alt 'P 1'
_space_group_IT_number 1
_cell_length_a 7.491
_cell_length_b 7.491
_cell_length_c 3.314
_cell_angle_alpha 90.00
_cell_angle_beta 90.00
_cell_angle_gamma 90.00
loop_
_space_group_symop_operation_xyz
'x,y,z'
loop_
_atom_site_label
_atom_site_fract_x
_atom_site_fract_y
_atom_site_fract_z
_atom_site_occupancy
Ni1 0.114 0.386 0.000 1
Ni2 0.386 0.886 0.000 1
Ni3 0.614 0.114 0.000 1
Ni4 0.886 0.614 0.000 1
Te1 0.182 0.682 0.500 1
Te2 0.318 0.182 0.500 1
Te3 0.682 0.818 0.500 1
Te4 0.818 0.318 0.500 1
S1 0.000 0.000 0.500 1
S2 0.500 0.500 0.500 1

(3)
# Ni4Te3S (GGA-PBE, optimized geometry)
# Symmetry: Pmn2_1
# Energy relative to the elements, uncorrected (eV per atom): -0.1628
data_Ni4Te3S
_space_group_name_H-M_alt 'P 1'
_space_group_IT_number 1
_cell_length_a 8.320
_cell_length_b 6.966
_cell_length_c 5.530
_cell_angle_alpha 90.00
_cell_angle_beta 90.00
_cell_angle_gamma 90.00
loop_
_space_group_symop_operation_xyz
'x,y,z'
loop_
_atom_site_label
_atom_site_fract_x
_atom_site_fract_y
_atom_site_fract_z
_atom_site_occupancy
Ni1 0.000 0.118 0.000 1
Ni2 0.000 0.820 0.673 1
Ni3 0.228 0.689 0.986 1
Ni4 0.272 0.311 0.486 1
Ni5 0.500 0.180 0.173 1
Ni6 0.500 0.882 0.500 1
Ni7 0.728 0.311 0.486 1
Ni8 0.772 0.689 0.986 1
Te1 0.000 0.153 0.494 1
Te2 0.250 0.328 0.999 1
Te3 0.250 0.672 0.499 1
Te4 0.500 0.847 0.994 1
Te5 0.750 0.328 0.999 1
Te6 0.750 0.672 0.499 1
S1 0.000 0.815 0.055 1
S2 0.500 0.185 0.555 1

Which of these has the lowest energy relative to the elements, uncorrected? Ni4Te3S

Which of these has the highest energy relative to the elements, uncorrected? NiTeS3

Among the records above, which one has the lowest energy relative to the elements, uncorrected? Ni4Te3S